A geometry-optimized Sr2Mg4AlSn3 structure, computed with PBE.

It has space group P-4m2 (No. 115), with a = 4.716 Å, b = 4.716 Å, c = 12.354 Å, α = 90.00°, β = 90.00° and γ = 90.00°. Symmetry generates all atoms from Sr at (0.000, 0.500, 0.243), Mg at (0.000, 0.000, 0.500), Mg at (0.000, 0.500, 0.867), Mg at (0.500, 0.500, 0.500), Al at (0.500, 0.500, 0.000), Sn at (0.000, 0.000, 0.000) and Sn at (0.000, 0.500, 0.641).

Its total DFT energy (no corrections) is -0.214 Ry per atom. As for the crystal system: tetragonal. The value obtained for the formation energy is -361.4 meV/atom. For the magnetization, the calculation gives 0.0 μB per formula unit. As for the density: 4.0 g/cm3.